Entry A
Entry from the Alexandria database: a relaxed structure of La5Ho2Th (PBE-GGA).

Its density of states at the Fermi level is 1.4409 states/eV/atom. For the density, the calculation gives 7.30 g/cm3. The size of the total moment comes out at 0.00 μB/atom.

```
La5Ho2Th
1.0
2.829 -6.037 0.000
2.829 6.037 0.000
0.000 0.000 16.740
La Ho Th
10 4 2
Cartesian
2.829 5.654 12.555 La
2.829 4.500 0.815 La
2.829 4.500 7.555 La
2.829 0.843 1.646 La
2.829 0.843 6.724 La
2.829 -0.843 10.015 La
2.829 -0.843 15.094 La
2.829 -4.500 9.184 La
2.829 -4.500 15.925 La
2.829 -5.654 4.185 La
2.829 2.744 10.679 Ho
2.829 2.744 14.431 Ho
2.829 -2.744 2.309 Ho
2.829 -2.744 6.061 Ho
2.829 3.121 4.185 Th
2.829 -3.121 12.555 Th
```

***

Entry B
Entry from the Alexandria database: a relaxed structure of La5Ho2Th (PBE-GGA).

Its density of states at the Fermi level is 1.2691 states/eV/atom. For the density, the calculation gives 7.52 g/cm3. The size of the total moment comes out at 0.00 μB/atom.

```
La5Ho2Th
1.0
7.328 0.000 0.000
0.000 14.646 0.000
0.000 0.000 5.168
La Ho Th
10 4 2
Cartesian
0.000 0.000 0.000 La
0.073 3.711 0.000 La
1.810 5.527 2.584 La
1.854 12.851 2.584 La
3.591 11.034 0.000 La
3.664 7.323 0.000 La
3.737 3.613 0.000 La
5.475 1.796 2.584 La
5.518 9.119 2.584 La
7.255 10.936 0.000 La
1.743 9.083 2.584 Ho
1.921 1.760 2.584 Ho
5.407 12.886 2.584 Ho
5.585 5.563 2.584 Ho
0.000 7.323 0.000 Th
3.664 0.000 0.000 Th
```

***

entry B is the most stable structure shown above.